a | Entry from Alexandria via LeMat-Bulk: an optimized crystal structure of Tb5Dy4Mg2 (GGA-PBE).

CIF file:
```
data_Tb5Dy4Mg2
_cell_length_a 3.415
_cell_length_b 8.828
_cell_length_c 12.430
_cell_angle_alpha 110.80
_cell_angle_beta 97.90
_cell_angle_gamma 90.00
_symmetry_space_group_name_H-M 'P 1'
_symmetry_Int_Tables_number 1
_symmetry_space_group_name_Hall 'P 1'
loop_
_atom_site_label
_atom_site_fract_x
_atom_site_fract_y
_atom_site_fract_z
Tb1 0.859 0.057 0.719
Tb2 0.859 0.661 0.719
Tb3 0.141 0.339 0.281
Tb4 0.141 0.943 0.281
Tb5 0.500 0.000 0.000
Dy1 0.000 0.319 0.000
Dy2 0.732 0.732 0.464
Dy3 0.000 0.681 0.000
Dy4 0.268 0.268 0.536
Mg1 0.402 0.402 0.804
Mg2 0.598 0.598 0.196
```

Computed properties:
crystal system = orthorhombic
V = 346 Å³/cell
symmetry = Immm (71)

=====

b | Entry from Alexandria via LeMat-Bulk: an optimized crystal structure of Tb5Dy4Mg2 (GGA-PBE).

CIF file:
```
data_Tb5Dy4Mg2
_cell_length_a 3.476
_cell_length_b 11.460
_cell_length_c 13.652
_cell_angle_alpha 140.90
_cell_angle_beta 97.33
_cell_angle_gamma 89.92
_symmetry_space_group_name_H-M 'P 1'
_symmetry_Int_Tables_number 1
_symmetry_space_group_name_Hall 'P 1'
loop_
_atom_site_label
_atom_site_fract_x
_atom_site_fract_y
_atom_site_fract_z
Tb1 0.739 0.118 0.474
Tb2 0.261 0.882 0.526
Tb3 0.179 0.279 0.355
Tb4 0.500 0.000 0.000
Tb5 0.821 0.721 0.645
Dy1 0.634 0.458 0.270
Dy2 0.039 0.792 0.078
Dy3 0.366 0.542 0.730
Dy4 0.961 0.208 0.922
Mg1 0.585 0.641 0.180
Mg2 0.415 0.359 0.820
```

Computed properties:
crystal system = triclinic
V = 336 Å³/cell
symmetry = P-1 (2)

=====

On energetic grounds, b is preferred over the next structure by 203 meV/atom.

=====

a | Entry from Alexandria via LeMat-Bulk: an optimized crystal structure of Tb2Dy8Mg (GGA-PBE).

CIF file:
```
data_Tb2Dy8Mg
_cell_length_a 6.383
_cell_length_b 9.359
_cell_length_c 9.359
_cell_angle_alpha 41.44
_cell_angle_beta 70.95
_cell_angle_gamma 70.95
_symmetry_space_group_name_H-M 'P 1'
_symmetry_Int_Tables_number 1
_symmetry_space_group_name_Hall 'P 1'
loop_
_atom_site_label
_atom_site_fract_x
_atom_site_fract_y
_atom_site_fract_z
Tb1 0.881 0.726 0.726
Tb2 0.119 0.274 0.274
Dy1 0.286 0.341 0.853
Dy2 0.714 0.147 0.659
Dy3 0.314 0.797 0.797
Dy4 0.686 0.203 0.203
Dy5 0.286 0.853 0.341
Dy6 0.714 0.659 0.147
Dy7 0.750 0.571 0.571
Dy8 0.250 0.429 0.429
Mg1 0.000 0.000 0.000
```

Computed properties:
crystal system = monoclinic
V = 347 Å³/cell
symmetry = C2/m (12)

=====

b | Entry from Alexandria via LeMat-Bulk: an optimized crystal structure of Tb2Dy8Mg (GGA-PBE).

CIF file:
```
data_Tb2Dy8Mg
_cell_length_a 6.657
_cell_length_b 9.942
_cell_length_c 9.942
_cell_angle_alpha 38.67
_cell_angle_beta 59.61
_cell_angle_gamma 59.61
_symmetry_space_group_name_H-M 'P 1'
_symmetry_Int_Tables_number 1
_symmetry_space_group_name_Hall 'P 1'
loop_
_atom_site_label
_atom_site_fract_x
_atom_site_fract_y
_atom_site_fract_z
Tb1 0.579 0.813 0.813
Tb2 0.421 0.187 0.187
Dy1 0.224 0.341 0.821
Dy2 0.776 0.179 0.659
Dy3 0.176 0.755 0.755
Dy4 0.824 0.245 0.245
Dy5 0.224 0.821 0.341
Dy6 0.776 0.659 0.179
Dy7 0.726 0.595 0.595
Dy8 0.274 0.405 0.405
Mg1 0.000 0.000 0.000
```

Computed properties:
crystal system = monoclinic
V = 347 Å³/cell
symmetry = C2/m (12)

=====

On energetic grounds, b is preferred over the next structure by 36 meV/atom.

=====

a | Entry from Alexandria via LeMat-Bulk: an optimized crystal structure of TbDy2Mg4 (GGA-PBE).

CIF file:
```
data_TbDy2Mg4
_cell_length_a 5.374
_cell_length_b 5.374
_cell_length_c 8.167
_cell_angle_alpha 109.21
_cell_angle_beta 109.21
_cell_angle_gamma 90.00
_symmetry_space_group_name_H-M 'P 1'
_symmetry_Int_Tables_number 1
_symmetry_space_group_name_Hall 'P 1'
loop_
_atom_site_label
_atom_site_fract_x
_atom_site_fract_y
_atom_site_fract_z
Tb1 0.000 0.000 0.000
Dy1 0.750 0.750 0.500
Dy2 0.250 0.250 0.500
Mg1 0.382 0.882 0.765
Mg2 0.882 0.382 0.765
Mg3 0.618 0.118 0.235
Mg4 0.118 0.618 0.235
```

Computed properties:
crystal system = tetragonal
V = 209 Å³/cell
symmetry = I4/mmm (139)

=====

b | Entry from Alexandria via LeMat-Bulk: an optimized crystal structure of TbDy2Mg4 (GGA-PBE).

CIF file:
```
data_TbDy2Mg4
_cell_length_a 5.457
_cell_length_b 5.970
_cell_length_c 7.129
_cell_angle_alpha 114.75
_cell_angle_beta 90.00
_cell_angle_gamma 90.00
_symmetry_space_group_name_H-M 'P 1'
_symmetry_Int_Tables_number 1
_symmetry_space_group_name_Hall 'P 1'
loop_
_atom_site_label
_atom_site_fract_x
_atom_site_fract_y
_atom_site_fract_z
Tb1 0.000 0.500 0.000
Dy1 0.500 0.132 0.265
Dy2 0.500 0.868 0.735
Mg1 0.500 0.619 0.237
Mg2 0.000 0.744 0.489
Mg3 0.500 0.381 0.763
Mg4 0.000 0.256 0.511
```

Computed properties:
crystal system = orthorhombic
V = 211 Å³/cell
symmetry = Cmmm (65)

=====

On energetic grounds, a is preferred over the next structure by 243 meV/atom.

=====

a | Entry from Alexandria via LeMat-Bulk: an optimized crystal structure of Tb2DyMg4 (GGA-PBE).

CIF file:
```
data_Tb2DyMg4
_cell_length_a 5.430
_cell_length_b 5.979
_cell_length_c 7.183
_cell_angle_alpha 114.59
_cell_angle_beta 90.00
_cell_angle_gamma 90.00
_symmetry_space_group_name_H-M 'P 1'
_symmetry_Int_Tables_number 1
_symmetry_space_group_name_Hall 'P 1'
loop_
_atom_site_label
_atom_site_fract_x
_atom_site_fract_y
_atom_site_fract_z
Tb1 0.500 0.133 0.266
Tb2 0.500 0.867 0.734
Dy1 0.000 0.500 0.000
Mg1 0.500 0.618 0.235
Mg2 0.000 0.740 0.481
Mg3 0.500 0.382 0.765
Mg4 0.000 0.260 0.519
```

Computed properties:
crystal system = orthorhombic
V = 212 Å³/cell
symmetry = Cmmm (65)

=====

b | Entry from Alexandria via LeMat-Bulk: an optimized crystal structure of Tb2DyMg4 (GGA-PBE).

CIF file:
```
data_Tb2DyMg4
_cell_length_a 5.380
_cell_length_b 5.380
_cell_length_c 8.173
_cell_angle_alpha 109.22
_cell_angle_beta 109.22
_cell_angle_gamma 90.00
_symmetry_space_group_name_H-M 'P 1'
_symmetry_Int_Tables_number 1
_symmetry_space_group_name_Hall 'P 1'
loop_
_atom_site_label
_atom_site_fract_x
_atom_site_fract_y
_atom_site_fract_z
Tb1 0.750 0.750 0.499
Tb2 0.250 0.250 0.501
Dy1 0.000 0.000 0.000
Mg1 0.383 0.883 0.766
Mg2 0.883 0.383 0.766
Mg3 0.617 0.117 0.234
Mg4 0.117 0.617 0.234
```

Computed properties:
crystal system = tetragonal
V = 209 Å³/cell
symmetry = I4/mmm (139)

=====

On energetic grounds, b is preferred over the next structure by 245 meV/atom.

=====

a | Entry from Alexandria via LeMat-Bulk: an optimized crystal structure of Tb3Dy6Mg (GGA-PBE).

CIF file:
```
data_Tb3Dy6Mg
_cell_length_a 5.002
_cell_length_b 11.093
_cell_length_c 11.154
_cell_angle_alpha 90.30
_cell_angle_beta 90.00
_cell_angle_gamma 90.00
_symmetry_space_group_name_H-M 'P 1'
_symmetry_Int_Tables_number 1
_symmetry_space_group_name_Hall 'P 1'
loop_
_atom_site_label
_atom_site_fract_x
_atom_site_fract_y
_atom_site_fract_z
Tb1 0.250 0.551 0.400
Tb2 0.750 0.449 0.600
Tb3 0.250 0.349 0.796
Tb4 0.750 0.651 0.204
Tb5 0.250 0.752 0.003
Tb6 0.750 0.248 0.997
Dy1 0.250 0.448 0.102
Dy2 0.750 0.552 0.898
Dy3 0.250 0.150 0.197
Dy4 0.750 0.850 0.803
Dy5 0.250 0.653 0.700
Dy6 0.750 0.347 0.300
Dy7 0.250 0.246 0.499
Dy8 0.750 0.754 0.501
Dy9 0.250 0.852 0.305
Dy10 0.750 0.148 0.695
Dy11 0.250 0.048 0.899
Dy12 0.750 0.952 0.101
Mg1 0.250 0.952 0.599
Mg2 0.750 0.048 0.401
```

Computed properties:
crystal system = monoclinic
V = 619 Å³/cell
symmetry = P2_1/m (11)

=====

b | Entry from Alexandria via LeMat-Bulk: an optimized crystal structure of Tb3Dy6Mg (GGA-PBE).

CIF file:
```
data_Tb3Dy6Mg
_cell_length_a 9.024
_cell_length_b 8.739
_cell_length_c 8.739
_cell_angle_alpha 115.20
_cell_angle_beta 90.00
_cell_angle_gamma 90.00
_symmetry_space_group_name_H-M 'P 1'
_symmetry_Int_Tables_number 1
_symmetry_space_group_name_Hall 'P 1'
loop_
_atom_site_label
_atom_site_fract_x
_atom_site_fract_y
_atom_site_fract_z
Tb1 0.439 0.968 0.680
Tb2 0.939 0.680 0.968
Tb3 0.426 0.535 0.465
Tb4 0.926 0.465 0.535
Tb5 0.939 0.032 0.320
Tb6 0.439 0.320 0.032
Dy1 0.101 0.854 0.713
Dy2 0.601 0.713 0.854
Dy3 0.268 0.523 0.830
Dy4 0.768 0.830 0.523
Dy5 0.285 0.937 0.063
Dy6 0.653 0.296 0.704
Dy7 0.153 0.704 0.296
Dy8 0.785 0.063 0.937
Dy9 0.268 0.170 0.477
Dy10 0.768 0.477 0.170
Dy11 0.101 0.287 0.146
Dy12 0.601 0.146 0.287
Mg1 0.006 0.239 0.761
Mg2 0.506 0.761 0.239
```

Computed properties:
crystal system = orthorhombic
V = 624 Å³/cell
symmetry = Cmc2_1 (36)

=====

On energetic grounds, a is preferred over the next structure by 108 meV/atom.

=====

a | Entry from Alexandria via LeMat-Bulk: an optimized crystal structure of TbDyTmMg (GGA-PBE).

CIF file:
```
data_TbDyTmMg
_cell_length_a 5.475
_cell_length_b 5.475
_cell_length_c 5.475
_cell_angle_alpha 60.00
_cell_angle_beta 60.00
_cell_angle_gamma 60.00
_symmetry_space_group_name_H-M 'P 1'
_symmetry_Int_Tables_number 1
_symmetry_space_group_name_Hall 'P 1'
loop_
_atom_site_label
_atom_site_fract_x
_atom_site_fract_y
_atom_site_fract_z
Mg1 0.500 0.500 0.500
Tm1 0.000 0.000 0.000
Tb1 0.250 0.250 0.250
Dy1 0.750 0.750 0.750
```

Computed properties:
crystal system = cubic
V = 116 Å³/cell
symmetry = F-43m (216)

=====

b | Entry from Alexandria via LeMat-Bulk: an optimized crystal structure of TbDyTmMg (GGA-PBE).

CIF file:
```
data_TbDyTmMg
_cell_length_a 3.429
_cell_length_b 3.468
_cell_length_c 10.195
_cell_angle_alpha 89.99
_cell_angle_beta 99.68
_cell_angle_gamma 90.00
_symmetry_space_group_name_H-M 'P 1'
_symmetry_Int_Tables_number 1
_symmetry_space_group_name_Hall 'P 1'
loop_
_atom_site_label
_atom_site_fract_x
_atom_site_fract_y
_atom_site_fract_z
Tb1 0.280 0.430 0.560
Dy1 0.431 0.930 0.863
Tm1 0.053 0.430 0.106
Mg1 0.666 0.929 0.332
```

Computed properties:
crystal system = orthorhombic
V = 120 Å³/cell
symmetry = Amm2 (38)

=====

On energetic grounds, a is preferred over the next structure by 65 meV/atom.